Entry 1:
Entry from Alexandria: a geometry-optimized ZrMnAs2 structure (PBE).

Lattice parameters (Å, degrees): 3.8404 3.8404 18.2848 90.00 90.00 120.00
With the nearest neighbours (Å) after each atom.
Space group R-3m (No. 166, hexagonal axes)
One atom of each set of equivalent atoms:
Zr 0.0000 0.0000 0.0000  6 As 2.75
Mn 0.0000 0.0000 0.5000  6 As 2.63
As 0.0000 0.0000 0.2444  3 Mn 2.63, 3 Zr 2.75

Summary:
Its crystal system is trigonal. The density of states at the Fermi level comes out at 6.250 states/eV/cell. The value obtained for the total energy is -87.1 eV/cell.

---

Entry 2:
Entry from Alexandria: a geometry-optimized Zr5Cd5Hg2 structure (PBE).

Lattice parameters (Å, degrees): 15.8868 3.2241 12.8349 90.00 125.74 90.00
With the nearest neighbours (Å) after each atom.
Space group C2/m (No. 12)
One atom of each set of equivalent atoms:
Zr 0.0000 0.0000 0.0000  8 Cd 3.10-3.13, 4 Zr 3.22-3.24
Zr 0.0064 0.0000 0.2572  5 Cd 3.07-3.18, 2 Hg 3.13, 5 Zr 3.14-3.24
Zr 0.1715 0.5000 0.5048  6 Zr 3.03-3.22, 5 Cd 3.13-3.26, 1 Hg 3.20
Cd 0.0000 0.0000 0.5000  6 Zr 3.13-3.18, 4 Hg 3.16, 2 Cd 3.22
Cd 0.1628 0.5000 0.9925  4 Zr 3.10-3.17, 5 Cd 3.11-3.23, 3 Hg 3.14-3.22
Cd 0.1658 0.5000 0.2467  7 Zr 3.07-3.26, 2 Hg 3.10, 3 Cd 3.22-3.23
Hg 0.1664 0.5000 0.7506  7 Cd 3.10-3.22, 3 Zr 3.13-3.20, 2 Hg 3.22

Summary:
Its crystal system is monoclinic. The density of states at the Fermi level comes out at 21.867 states/eV/cell. The value obtained for the total energy is -97.4 eV/cell.

---

| no. | total moment (μB per formula unit) |
| --- | --- |
| 1 | 4.160 |
| 2 | 0.000 |